Computed, not measured: crystalline TbMn3Pd12 at its relaxed geometry at the GGA-PBE level of DFT.

The mass density comes out at 10.55 g/cm3. The total magnetic moment comes out at 13.25 μB/f.u. The density of states at the Fermi level is 16.926 states/eV per cell. The formation energy is -0.370 eV/atom.

The structure belongs to space group P4/mmm (No. 123); the cell edges are 3.992, 3.992 and 15.805 Å and the angles 90.00°, 90.00° and 90.00°. The distinct sites, in fractional coordinates, are Tb at (0.000, 0.000, 0.000), Mn at (0.000, 0.000, 0.258), Mn at (0.000, 0.000, 0.500), Pd at (0.000, 0.500, 0.136), Pd at (0.000, 0.500, 0.379), Pd at (0.500, 0.500, 0.000), Pd at (0.500, 0.500, 0.257) and Pd at (0.500, 0.500, 0.500).



Computed, not measured: crystalline K2U2AlS6 at its relaxed geometry at the GGA-PBE level of DFT.

The mass density comes out at 4.34 g/cm3. The value obtained for the raw formation energy is -1.281 eV/atom. The total magnetic moment comes out at 5.00 μB/f.u. The density of states at the Fermi level is 21.189 states/eV per cell.

The structure belongs to space group C2/m (No. 12); the cell edges are 6.765, 11.575 and 7.891 Å and the angles 90.00°, 106.70° and 90.00°. The distinct sites, in fractional coordinates, are K at (0.000, 0.169, 0.000), U at (0.000, 0.334, 0.500), Al at (0.000, 0.000, 0.500), S at (0.220, 0.156, 0.691) and S at (0.236, 0.000, 0.314).



Computed, not measured: crystalline Sr2PrHoS4 at its relaxed geometry at the GGA-PBE level of DFT.

The mass density comes out at 5.10 g/cm3. The value obtained for the raw formation energy is -2.031 eV/atom. The total magnetic moment comes out at 0.00 μB/f.u. The density of states at the Fermi level is 3.481 states/eV per cell.

The structure belongs to space group P2/m (No. 10); the cell edges are 7.094, 4.088 and 7.232 Å and the angles 90.00°, 108.98° and 90.00°. The distinct sites, in fractional coordinates, are Sr at (0.000, 0.000, 0.000), Sr at (0.500, 0.500, 0.000), Pr at (0.000, 0.500, 0.500), Ho at (0.500, 0.000, 0.500), S at (0.256, 0.000, 0.738) and S at (0.265, 0.500, 0.269).



Computed, not measured: crystalline Na3SnSb2 at its relaxed geometry at the GGA-PBE level of DFT.

The mass density comes out at 4.14 g/cm3. The value obtained for the raw formation energy is -0.304 eV/atom. The total magnetic moment comes out at 0.00 μB/f.u. The density of states at the Fermi level is 7.468 states/eV per cell.

The structure belongs to space group Pnma (No. 62); the cell edges are 13.337, 5.389 and 9.619 Å and the angles 90.00°, 90.00° and 90.00°. The distinct sites, in fractional coordinates, are Na at (0.057, 0.250, 0.081), Na at (0.160, 0.750, 0.647), Na at (0.235, 0.250, 0.816), Sn at (0.092, 0.250, 0.428), Sb at (0.016, 0.750, 0.303) and Sb at (0.194, 0.750, 0.998).



Computed, not measured: crystalline LiTmInSn at its relaxed geometry at the GGA-PBE level of DFT.

The mass density comes out at 7.15 g/cm3. The total magnetic moment comes out at 0.00 μB/f.u. The density of states at the Fermi level is 9.486 states/eV per cell. The formation energy is -0.374 eV/atom.

The structure belongs to space group F-43m (No. 216); the cell edges are 7.246, 7.246 and 7.246 Å and the angles 90.00°, 90.00° and 90.00°. The distinct sites, in fractional coordinates, are Li at (0.000, 0.000, 0.000), Tm at (0.000, 0.000, 0.500), In at (0.250, 0.250, 0.750) and Sn at (0.250, 0.250, 0.250).



Computed, not measured: crystalline Dy2ZnHPd6 at its relaxed geometry at the GGA-PBE level of DFT.

The mass density comes out at 10.21 g/cm3. The total magnetic moment comes out at 0.00 μB/f.u. As for the total energy: -5.171 eV per atom. The density of states at the Fermi level is 2.582 states/eV per cell.

The structure belongs to space group P-1 (No. 2); the cell edges are 5.697, 5.708 and 6.788 Å and the angles 65.24°, 65.26° and 60.15°. The distinct sites, in fractional coordinates, are Dy at (0.226, 0.230, 0.321), Zn at (0.500, 0.500, 0.500), H at (0.000, 0.000, 0.000), Pd at (0.228, 0.726, 0.814), Pd at (0.230, 0.226, 0.806) and Pd at (0.267, 0.775, 0.191).



Computed, not measured: crystalline ZnAgP2 at its relaxed geometry at the GGA-PBE level of DFT.

The mass density comes out at 5.84 g/cm3. The total magnetic moment comes out at 0.00 μB/f.u. The density of states at the Fermi level is 2.822 states/eV per cell. The formation energy is 0.457 eV/atom.

The structure belongs to space group C2/m (No. 12); the cell edges are 5.089, 9.862 and 2.667 Å and the angles 90.00°, 90.27° and 90.00°. The distinct sites, in fractional coordinates, are Zn at (0.000, 0.000, 0.000), Ag at (0.000, 0.500, 0.000) and P at (0.250, 0.250, 0.500).



Computed, not measured: crystalline MgAu4 at its relaxed geometry at the GGA-PBE level of DFT.

The mass density comes out at 13.84 g/cm3. The total magnetic moment comes out at 0.00 μB/f.u. The density of states at the Fermi level is 2.075 states/eV per cell. The formation energy is -0.219 eV/atom.

The structure belongs to space group P2_1/c (No. 14); the cell edges are 4.860, 5.464 and 8.086 Å and the angles 90.00°, 114.79° and 90.00°. The distinct sites, in fractional coordinates, are Mg at (0.000, 0.000, 0.000), Au at (0.108, 0.003, 0.368) and Au at (0.499, 0.248, 0.749).



Computed, not measured: crystalline La2GaOsN at its relaxed geometry at the GGA-PBE level of DFT.

The mass density comes out at 8.41 g/cm3. The value obtained for the raw formation energy is -0.618 eV/atom. The total magnetic moment comes out at 0.00 μB/f.u. The density of states at the Fermi level is 3.451 states/eV per cell.

The structure belongs to space group P4/mmm (No. 123); the cell edges are 5.323, 5.323 and 3.846 Å and the angles 90.00°, 90.00° and 90.00°. The distinct sites, in fractional coordinates, are La at (0.000, 0.500, 0.000), Ga at (0.000, 0.000, 0.500), Os at (0.500, 0.500, 0.500) and N at (0.500, 0.500, 0.000).



Computed, not measured: crystalline SnPtF2 at its relaxed geometry at the GGA-PBE level of DFT.

The mass density comes out at 9.08 g/cm3. The value obtained for the raw formation energy is -0.956 eV/atom. The total magnetic moment comes out at 0.00 μB/f.u. The density of states at the Fermi level is 4.084 states/eV per cell.

The structure belongs to space group R-3m (No. 166, hexagonal axes); the cell edges are 3.0342, 3.0342 and 24.1943 Å and the angles 90.00°, 90.00° and 120.00°. The distinct sites, in fractional coordinates, are Sn at (0.0000, 0.0000, 0.0000), Pt at (0.0000, 0.0000, 0.5000) and F at (0.0000, 0.0000, 0.4162).



Computed, not measured: crystalline OsRuIF2 at its relaxed geometry at the GGA-PBE level of DFT.

The mass density comes out at 9.21 g/cm3. The value obtained for the raw formation energy is -0.074 eV/atom. The total magnetic moment comes out at 0.00 μB/f.u. The density of states at the Fermi level is 4.444 states/eV per cell.

The structure belongs to space group P4/mmm (No. 123); the cell edges are 4.052, 4.052 and 5.011 Å and the angles 90.00°, 90.00° and 90.00°. The distinct sites, in fractional coordinates, are Os at (0.000, 0.000, 0.000), Ru at (0.000, 0.000, 0.500), I at (0.500, 0.500, 0.000) and F at (0.000, 0.500, 0.500).



Computed, not measured: crystalline MoIrI3 at its relaxed geometry at the GGA-PBE level of DFT.

The mass density comes out at 6.99 g/cm3. The value obtained for the raw formation energy is 1.093 eV/atom. The total magnetic moment comes out at 4.57 μB/f.u. The density of states at the Fermi level is 4.275 states/eV per cell.

The structure belongs to space group Pm-3m (No. 221); the cell edges are 5.415, 5.415 and 5.415 Å and the angles 90.00°, 90.00° and 90.00°. The distinct sites, in fractional coordinates, are Mo at (0.000, 0.000, 0.000), Ir at (0.500, 0.500, 0.500) and I at (0.000, 0.500, 0.500).



Computed, not measured: crystalline GdBO3 at its relaxed geometry at the GGA-PBE level of DFT.

The mass density comes out at 6.20 g/cm3. The value obtained for the raw formation energy is -3.079 eV/atom. The total magnetic moment comes out at 7.00 μB/f.u. The density of states at the Fermi level is 0.000 states/eV per cell.

The structure belongs to space group C2/c (No. 15); the cell edges are 11.556, 6.682 and 9.753 Å and the angles 90.00°, 112.87° and 90.00°. The distinct sites, in fractional coordinates, are Gd at (0.086, 0.243, 0.499), Gd at (0.250, 0.250, 0.000), B at (0.000, 0.179, 0.750), B at (0.118, 0.464, 0.247), O at (0.000, 0.368, 0.250), O at (0.048, 0.069, 0.890), O at (0.106, 0.310, 0.748), O at (0.126, 0.409, 0.106) and O at (0.220, 0.409, 0.387).



Computed, not measured: crystalline Tm2TlOs at its relaxed geometry at the GGA-PBE level of DFT.

The mass density comes out at 13.77 g/cm3. The total magnetic moment comes out at 0.00 μB/f.u. The density of states at the Fermi level is 12.264 states/eV per cell. The formation energy is -0.183 eV/atom.

The structure belongs to space group Fm-3m (No. 225); the cell edges are 7.069, 7.069 and 7.069 Å and the angles 90.00°, 90.00° and 90.00°. The distinct sites, in fractional coordinates, are Tm at (0.250, 0.250, 0.250), Tl at (0.000, 0.000, 0.000) and Os at (0.000, 0.000, 0.500).



Computed, not measured: crystalline Ti3Os2Rh at its relaxed geometry at the GGA-PBE level of DFT.

The mass density comes out at 11.69 g/cm3. The total magnetic moment comes out at 0.00 μB/f.u. The density of states at the Fermi level is 2.794 states/eV per cell. The formation energy is -0.724 eV/atom.

The structure belongs to space group P4/mmm (No. 123); the cell edges are 3.104, 3.104 and 9.243 Å and the angles 90.00°, 90.00° and 90.00°. The distinct sites, in fractional coordinates, are Ti at (0.000, 0.000, 0.000), Ti at (0.000, 0.000, 0.331), Os at (0.500, 0.500, 0.168) and Rh at (0.500, 0.500, 0.500).



Computed, not measured: crystalline Cs2BaIrBr6 at its relaxed geometry at the GGA-PBE level of DFT.

The mass density comes out at 4.61 g/cm3. The value obtained for the raw formation energy is -1.241 eV/atom. The total magnetic moment comes out at 1.00 μB/f.u. The density of states at the Fermi level is 0.000 states/eV per cell.

The structure belongs to space group I4/mmm (No. 139); the cell edges are 7.998, 7.998 and 12.116 Å and the angles 90.00°, 90.00° and 90.00°. The distinct sites, in fractional coordinates, are Cs at (0.000, 0.500, 0.250), Ba at (0.000, 0.000, 0.000), Ir at (0.000, 0.000, 0.500), Br at (0.000, 0.000, 0.260) and Br at (0.222, 0.222, 0.500).



Computed, not measured: crystalline Rb2TiSnO5 at its relaxed geometry at the GGA-PBE level of DFT.

The mass density comes out at 4.06 g/cm3. The value obtained for the raw formation energy is -1.994 eV/atom. The total magnetic moment comes out at 0.00 μB/f.u.

The structure belongs to space group Cmc2_1 (No. 36); the cell edges are 3.284, 16.950 and 12.267 Å and the angles 90.00°, 90.00° and 90.00°. The distinct sites, in fractional coordinates, are Rb at (0.000, 0.101, 0.000), Rb at (0.000, 0.129, 0.658), Ti at (0.000, 0.441, 0.784), Sn at (0.000, 0.220, 0.374), O at (0.000, 0.038, 0.355), O at (0.000, 0.296, 0.979), O at (0.000, 0.329, 0.767), O at (0.000, 0.331, 0.336) and O at (0.000, 0.483, 0.657).



Computed, not measured: crystalline UGa3Ni2 at its relaxed geometry at the GGA-PBE level of DFT.

The mass density comes out at 9.66 g/cm3. The total magnetic moment comes out at 2.21 μB/f.u. The density of states at the Fermi level is 53.136 states/eV per cell. The formation energy is -0.284 eV/atom.

The structure belongs to space group C2/m (No. 12); the cell edges are 15.897, 4.041 and 9.567 Å and the angles 90.00°, 108.71° and 90.00°. The distinct sites, in fractional coordinates, are U at (0.000, 0.000, 0.000), U at (0.159, 0.000, 0.707), Ga at (0.000, 0.500, 0.500), Ga at (0.043, 0.000, 0.355), Ga at (0.133, 0.500, 0.196), Ga at (0.166, 0.500, 0.953), Ga at (0.216, 0.000, 0.387), Ni at (0.015, 0.500, 0.783), Ni at (0.137, 0.500, 0.450) and Ni at (0.200, 0.000, 0.119).



Computed, not measured: crystalline KTcW2 at its relaxed geometry at the GGA-PBE level of DFT.

The mass density comes out at 12.11 g/cm3. The total magnetic moment comes out at 0.00 μB/f.u. The density of states at the Fermi level is 22.917 states/eV per cell. The formation energy is 1.672 eV/atom.

The structure belongs to space group Fm-3m (No. 225); the cell edges are 6.517, 6.517 and 6.517 Å and the angles 90.00°, 90.00° and 90.00°. The distinct sites, in fractional coordinates, are K at (0.000, 0.000, 0.000), Tc at (0.000, 0.000, 0.500) and W at (0.250, 0.250, 0.250).



Computed, not measured: crystalline Li7Hg3Au2 at its relaxed geometry at the GGA-PBE level of DFT.

The mass density comes out at 7.79 g/cm3. The total magnetic moment comes out at 0.00 μB/f.u. The density of states at the Fermi level is 7.609 states/eV per cell. The formation energy is -0.306 eV/atom.

The structure belongs to space group Cmmm (No. 65); the cell edges are 4.450, 22.302 and 4.483 Å and the angles 90.00°, 90.00° and 90.00°. The distinct sites, in fractional coordinates, are Li at (0.000, 0.000, 0.000), Li at (0.000, 0.086, 0.500), Li at (0.000, 0.277, 0.000), Li at (0.000, 0.417, 0.000), Hg at (0.000, 0.340, 0.500), Hg at (0.000, 0.500, 0.500) and Au at (0.000, 0.152, 0.000).



Computed, not measured: crystalline GaSeN3 at its relaxed geometry at the GGA-PBE level of DFT.

The mass density comes out at 5.49 g/cm3. The value obtained for the raw formation energy is 1.949 eV/atom. The total magnetic moment comes out at 0.00 μB/f.u. The density of states at the Fermi level is 3.575 states/eV per cell.

The structure belongs to space group Pm-3m (No. 221); the cell edges are 3.863, 3.863 and 3.863 Å and the angles 90.00°, 90.00° and 90.00°. The distinct sites, in fractional coordinates, are Ga at (0.000, 0.000, 0.000), Se at (0.500, 0.500, 0.500) and N at (0.000, 0.000, 0.500).